CeDyCl3 | PBE | optimized geometry

Summary:
- Total magnetization: 1.9 μB per cell
- Energy: -4.968 eV/atom
- Space-group type: C2/m, No. 12

```
data_CeDyCl3
_symmetry_space_group_name_H-M 'P 1'
_symmetry_Int_Tables_number 1
_cell_length_a 8.161
_cell_length_b 8.161
_cell_length_c 10.691
_cell_angle_alpha 117.96
_cell_angle_beta 117.96
_cell_angle_gamma 27.74
loop_
_symmetry_equiv_pos_as_xyz
'x,y,z'
loop_
_atom_site_label
_atom_site_type_symbol
_atom_site_fract_x
_atom_site_fract_y
_atom_site_fract_z
Ce1 Ce 0.141 0.141 0.295
Ce2 Ce 0.859 0.859 0.705
Dy1 Dy 0.414 0.414 0.047
Dy2 Dy 0.586 0.586 0.953
Cl1 Cl 0.051 0.051 0.753
Cl2 Cl 0.223 0.223 0.112
Cl3 Cl 0.346 0.346 0.494
Cl4 Cl 0.654 0.654 0.506
Cl5 Cl 0.777 0.777 0.888
Cl6 Cl 0.949 0.949 0.247
```